# 1
! Hg2SbPb, PBEsol geometry, DFT meta-GGA SCAN; values from VASP
! Total moment, μB per cell: 0.00
! Mass density, g cm⁻³: 11.92
! ΔE_f (raw), eV per atom: 0.118
&SYSTEM
  ibrav = 0, nat = 4, ntyp = 3
/
ATOMIC_SPECIES
Pb 207.20 Pb.upf
Sb 121.76 Sb.upf
Hg 200.59 Hg.upf
ATOMIC_POSITIONS crystal
Pb 0.5000 0.5000 0.0000
Sb 0.0000 0.0000 0.0000
Hg 0.7500 0.2500 0.5000
Hg 0.2500 0.7500 0.5000
CELL_PARAMETERS angstrom
-3.4599 3.0737 -1.4329
0.8986 -1.1430 -4.6215
-1.6435 -4.1543 3.2474

# 2
! HgSbPb2, PBEsol geometry, DFT meta-GGA SCAN; values from VASP
! Energy relative to the lowest polymorph listed for this composition, eV per atom: 0.061
! Total moment, μB per cell: 0.00
! Mass density, g cm⁻³: 11.27
! ΔE_f (raw), eV per atom: 0.101
&SYSTEM
  ibrav = 0, nat = 4, ntyp = 3
/
ATOMIC_SPECIES
Pb 207.20 Pb.upf
Sb 121.76 Sb.upf
Hg 200.59 Hg.upf
ATOMIC_POSITIONS crystal
Pb 0.0000 0.0000 0.7402
Pb 0.0000 0.0000 0.2598
Sb 0.5000 0.5000 0.0000
Hg 0.5000 0.5000 0.5000
CELL_PARAMETERS angstrom
3.4290 0.0000 0.0000
0.0000 3.4290 0.0000
0.0000 0.0000 9.2317

# 3
! HgSb2Pb, PBEsol geometry, DFT meta-GGA SCAN; values from VASP
! Energy relative to the lowest polymorph listed for this composition, eV per atom: 0.048
! Total moment, μB per cell: 0.00
! Mass density, g cm⁻³: 9.82
! ΔE_f (raw), eV per atom: 0.091
&SYSTEM
  ibrav = 0, nat = 4, ntyp = 3
/
ATOMIC_SPECIES
Pb 207.20 Pb.upf
Sb 121.76 Sb.upf
Hg 200.59 Hg.upf
ATOMIC_POSITIONS crystal
Pb 0.0785 0.5000 0.2750
Sb 0.9197 0.0000 0.9879
Sb 0.9615 0.5000 0.7422
Hg 0.5404 0.0000 0.4949
CELL_PARAMETERS angstrom
3.1659 0.0000 0.0278
0.0000 4.9211 0.0000
0.0414 0.0000 7.0692

# 4
! Hg2SbPb, PBEsol geometry, DFT meta-GGA SCAN; values from VASP
! Total moment, μB per cell: 0.00
! Mass density, g cm⁻³: 11.84
! ΔE_f (raw), eV per atom: 0.098
&SYSTEM
  ibrav = 0, nat = 4, ntyp = 3
/
ATOMIC_SPECIES
Pb 207.20 Pb.upf
Sb 121.76 Sb.upf
Hg 200.59 Hg.upf
ATOMIC_POSITIONS crystal
Pb 0.5000 0.5000 0.0000
Sb 0.2500 0.7500 0.5000
Hg 0.0000 0.0000 0.0000
Hg 0.7500 0.2500 0.5000
CELL_PARAMETERS angstrom
4.4196 0.0000 0.0000
0.0000 4.4196 0.0000
-2.2098 -2.2098 5.2421

> Which value of mass density does entry 2 give?

11.27 g cm⁻³

> Look up the mass density of the second one.

11.27 g cm⁻³

> Which of these has the lowest ΔE_f (raw)?

HgSb2Pb

> Which value of mass density does entry 4 give?

11.84 g cm⁻³